Record 1
Compound: Li4Os5
Source: the Alexandria database
Functional: PBE
Structure: optimized geometry

Formation energy in eV/atom: 0.522

```
data_Li4Os5
_cell_length_a 7.805
_cell_length_b 7.805
_cell_length_c 5.071
_cell_angle_alpha 90.00
_cell_angle_beta 90.00
_cell_angle_gamma 120.00
_symmetry_space_group_name_H-M 'P 1'
_symmetry_Int_Tables_number 1
_symmetry_space_group_name_Hall 'P 1'
loop_
_atom_site_label
_atom_site_type_symbol
_atom_site_fract_x
_atom_site_fract_y
_atom_site_fract_z
_atom_site_occupancy
Li1 Li 0.738 0.000 0.250 1
Li2 Li 0.738 0.738 0.750 1
Os1 Os 0.000 0.434 0.250 1
Li3 Li 0.262 0.262 0.250 1
Li4 Li 0.262 0.000 0.750 1
Os2 Os 0.333 0.667 0.000 1
Os3 Os 0.667 0.333 0.000 1
Li5 Li 0.000 0.000 0.500 1
Li6 Li 0.000 0.000 0.000 1
Os4 Os 0.333 0.667 0.500 1
Os5 Os 0.566 0.566 0.250 1
Os6 Os 0.434 0.434 0.750 1
Li7 Li 0.000 0.262 0.750 1
Os7 Os 0.434 0.000 0.250 1
Os8 Os 0.566 0.000 0.750 1
Li8 Li 0.000 0.738 0.250 1
Os9 Os 0.667 0.333 0.500 1
Os10 Os 0.000 0.566 0.750 1
```


Record 2
Compound: LiOs3
Source: the Alexandria database
Functional: PBE
Structure: optimized geometry

Formation energy in eV/atom: 0.563

```
data_LiOs3
_cell_length_a 4.810
_cell_length_b 4.810
_cell_length_c 4.810
_cell_angle_alpha 90.00
_cell_angle_beta 90.00
_cell_angle_gamma 90.00
_symmetry_space_group_name_H-M 'P 1'
_symmetry_Int_Tables_number 1
_symmetry_space_group_name_Hall 'P 1'
loop_
_atom_site_label
_atom_site_type_symbol
_atom_site_fract_x
_atom_site_fract_y
_atom_site_fract_z
_atom_site_occupancy
Os1 Os 0.500 0.000 0.750 1
Os2 Os 0.000 0.750 0.500 1
Li1 Li 0.500 0.500 0.500 1
Li2 Li 0.000 0.000 0.000 1
Os3 Os 0.500 0.000 0.250 1
Os4 Os 0.250 0.500 0.000 1
Os5 Os 0.750 0.500 0.000 1
Os6 Os 0.000 0.250 0.500 1
```


Record 3
Compound: LiOs3
Source: the Alexandria database
Functional: PBE
Structure: optimized geometry

Formation energy in eV/atom: 0.336

```
data_LiOs3
_cell_length_a 5.400
_cell_length_b 5.400
_cell_length_c 4.287
_cell_angle_alpha 90.00
_cell_angle_beta 90.00
_cell_angle_gamma 120.00
_symmetry_space_group_name_H-M 'P 1'
_symmetry_Int_Tables_number 1
_symmetry_space_group_name_Hall 'P 1'
loop_
_atom_site_label
_atom_site_type_symbol
_atom_site_fract_x
_atom_site_fract_y
_atom_site_fract_z
_atom_site_occupancy
Li1 Li 0.333 0.667 0.250 1
Os1 Os 0.653 0.826 0.750 1
Li2 Li 0.667 0.333 0.750 1
Os2 Os 0.174 0.826 0.750 1
Os3 Os 0.826 0.653 0.250 1
Os4 Os 0.826 0.174 0.250 1
Os5 Os 0.347 0.174 0.250 1
Os6 Os 0.174 0.347 0.750 1
```


Record 4
Compound: Li3Os
Source: the Alexandria database
Functional: PBE
Structure: optimized geometry

Formation energy in eV/atom: 0.136

```
data_Li3Os
_cell_length_a 2.622
_cell_length_b 2.622
_cell_length_c 9.620
_cell_angle_alpha 90.00
_cell_angle_beta 90.00
_cell_angle_gamma 113.44
_symmetry_space_group_name_H-M 'P 1'
_symmetry_Int_Tables_number 1
_symmetry_space_group_name_Hall 'P 1'
loop_
_atom_site_label
_atom_site_type_symbol
_atom_site_fract_x
_atom_site_fract_y
_atom_site_fract_z
_atom_site_occupancy
Li1 Li 0.000 0.000 0.478 1
Li2 Li 0.500 0.500 0.750 1
Li3 Li 0.000 0.000 0.022 1
Os1 Os 0.500 0.500 0.250 1
```


Record 5
Compound: LiOs3
Source: the Alexandria database
Functional: PBE
Structure: optimized geometry

Formation energy in eV/atom: 0.231

```
data_LiOs3
_cell_length_a 9.127
_cell_length_b 9.127
_cell_length_c 9.127
_cell_angle_alpha 17.16
_cell_angle_beta 17.16
_cell_angle_gamma 17.16
_symmetry_space_group_name_H-M 'P 1'
_symmetry_Int_Tables_number 1
_symmetry_space_group_name_Hall 'P 1'
loop_
_atom_site_label
_atom_site_type_symbol
_atom_site_fract_x
_atom_site_fract_y
_atom_site_fract_z
_atom_site_occupancy
Os1 Os 0.500 0.500 0.500 1
Li1 Li 0.000 0.000 0.000 1
Os2 Os 0.247 0.247 0.247 1
Os3 Os 0.753 0.753 0.753 1
```


Record 6
Compound: LiOs2
Source: the Alexandria database
Functional: PBE
Structure: optimized geometry

Formation energy in eV/atom: 0.225

```
data_LiOs2
_cell_length_a 7.384
_cell_length_b 7.384
_cell_length_c 4.364
_cell_angle_alpha 90.00
_cell_angle_beta 90.00
_cell_angle_gamma 158.64
_symmetry_space_group_name_H-M 'P 1'
_symmetry_Int_Tables_number 1
_symmetry_space_group_name_Hall 'P 1'
loop_
_atom_site_label
_atom_site_type_symbol
_atom_site_fract_x
_atom_site_fract_y
_atom_site_fract_z
_atom_site_occupancy
Li1 Li 0.776 0.224 0.750 1
Li2 Li 0.224 0.776 0.250 1
Os1 Os 0.899 0.101 0.250 1
Os2 Os 0.444 0.556 0.750 1
Os3 Os 0.556 0.444 0.250 1
Os4 Os 0.101 0.899 0.750 1
```


Record 7
Compound: LiOs2
Source: the Alexandria database
Functional: PBE
Structure: optimized geometry

Formation energy in eV/atom: 0.213

```
data_LiOs2
_cell_length_a 4.938
_cell_length_b 4.938
_cell_length_c 4.938
_cell_angle_alpha 145.47
_cell_angle_beta 145.47
_cell_angle_gamma 49.63
_symmetry_space_group_name_H-M 'P 1'
_symmetry_Int_Tables_number 1
_symmetry_space_group_name_Hall 'P 1'
loop_
_atom_site_label
_atom_site_type_symbol
_atom_site_fract_x
_atom_site_fract_y
_atom_site_fract_z
_atom_site_occupancy
Li1 Li 0.000 0.000 0.000 1
Os1 Os 0.664 0.664 0.000 1
Os2 Os 0.336 0.336 0.000 1
```


Record 8
Compound: LiOs
Source: the Alexandria database
Functional: PBE
Structure: optimized geometry

Formation energy in eV/atom: 0.731

```
data_LiOs
_cell_length_a 2.902
_cell_length_b 2.902
_cell_length_c 12.755
_cell_angle_alpha 90.00
_cell_angle_beta 90.00
_cell_angle_gamma 120.00
_symmetry_space_group_name_H-M 'P 1'
_symmetry_Int_Tables_number 1
_symmetry_space_group_name_Hall 'P 1'
loop_
_atom_site_label
_atom_site_type_symbol
_atom_site_fract_x
_atom_site_fract_y
_atom_site_fract_z
_atom_site_occupancy
Os1 Os 0.667 0.333 0.579 1
Li1 Li 0.000 0.000 0.250 1
Os2 Os 0.333 0.667 0.421 1
Li2 Li 0.000 0.000 0.750 1
Li3 Li 0.333 0.667 0.750 1
Os3 Os 0.667 0.333 0.921 1
Os4 Os 0.333 0.667 0.079 1
Li4 Li 0.667 0.333 0.250 1
```